! Nd6SmHo3 GGA-PBE relaxed; values from VASP
&SYSTEM
  ibrav = 0, nat = 20, ntyp = 3
/
ATOMIC_SPECIES
Nd 144.24 Nd.upf
Sm 150.36 Sm.upf
Ho 164.93 Ho.upf
CELL_PARAMETERS angstrom
-1.695 -2.772 5.485
-3.628 -8.901 -5.620
10.541 0.562 3.542
ATOMIC_POSITIONS angstrom
Nd 3.966 -6.096 -1.494
Nd 4.268 -6.714 1.992
Nd 7.407 -5.168 2.416
Nd 0.640 -10.507 1.330
Nd -3.751 -9.601 -3.219
Nd 5.464 -3.893 4.528
Nd 0.097 -6.657 -2.232
Nd 8.539 -2.213 8.018
Nd 4.173 -1.267 3.388
Nd -2.594 -6.606 2.302
Nd 1.632 -3.281 -0.793
Nd 1.935 -3.899 2.693
Sm 7.586 -1.596 2.369
Sm -1.901 -8.752 -0.474
Ho 3.302 -9.278 -0.240
Ho 5.727 -8.479 4.618
Ho 4.952 -3.312 0.492
Ho 0.823 -6.889 1.113
Ho 1.195 -3.012 5.980
Ho -1.230 -3.812 1.122
! Relative energy among the computed polymorphs in eV per atom: 0.016
! ΔE_f in meV per atom: 141
! Calculated volume in Å³ per cell: 680
! Total energy in eV per atom: -4.5646